# 1
! Sr2YBr, relaxed, DFT PBE; values from VASP
&SYSTEM
  ibrav = 0, nat = 4, ntyp = 3
/
ATOMIC_SPECIES
Y 88.91 Y.upf
Sr 87.62 Sr.upf
Br 79.90 Br.upf
CELL_PARAMETERS angstrom
-3.260 1.807 -1.161
-2.138 -2.180 2.612
1.212 7.125 7.685
ATOMIC_POSITIONS angstrom
Y -1.862 2.140 1.994
Sr -0.919 2.075 5.810
Sr -0.470 5.343 9.635
Br -2.325 4.612 7.142
! crystal system	monoclinic
! symmetry	No. 10
! relative energy among the computed polymorphs	44	meV/atom
! DOS(E_F)	1.0165	states/eV/atom

***

# 2
! Sr2YBr, relaxed, DFT PBE; values from VASP
&SYSTEM
  ibrav = 0, nat = 4, ntyp = 3
/
ATOMIC_SPECIES
Sr 87.62 Sr.upf
Y 88.91 Y.upf
Br 79.90 Br.upf
CELL_PARAMETERS angstrom
6.147 0.000 0.000
3.074 5.324 0.000
3.074 1.775 5.019
ATOMIC_POSITIONS angstrom
Sr 3.074 1.775 1.255
Sr 0.000 0.000 0.000
Y 9.221 5.324 3.764
Br 6.147 3.549 2.510
! crystal system	cubic
! symmetry	No. 216
! relative energy among the computed polymorphs	668	meV/atom
! DOS(E_F)	1.1470	states/eV/atom

***

# 3
! SrY2Br, relaxed, DFT PBE; values from VASP
&SYSTEM
  ibrav = 0, nat = 4, ntyp = 3
/
ATOMIC_SPECIES
Sr 87.62 Sr.upf
Y 88.91 Y.upf
Br 79.90 Br.upf
CELL_PARAMETERS angstrom
-5.370 5.403 1.851
-5.554 3.476 -4.304
3.385 -6.776 2.020
ATOMIC_POSITIONS angstrom
Sr -3.724 1.533 1.322
Y -5.462 4.440 -1.226
Y 0.000 0.000 0.000
Br -3.816 0.570 -1.755
! crystal system	tetragonal
! symmetry	No. 139
! relative energy among the computed polymorphs	344	meV/atom
! DOS(E_F)	1.1309	states/eV/atom

***

# 4
! Sr2YBr, relaxed, DFT PBE; values from VASP
&SYSTEM
  ibrav = 0, nat = 4, ntyp = 3
/
ATOMIC_SPECIES
Sr 87.62 Sr.upf
Y 88.91 Y.upf
Br 79.90 Br.upf
CELL_PARAMETERS angstrom
-4.203 -4.140 -4.275
-3.989 -6.017 -0.983
-6.454 0.636 0.783
ATOMIC_POSITIONS angstrom
Sr -8.130 -9.705 -5.005
Sr -11.013 -7.268 -3.428
Y -7.413 -5.211 -2.489
Br -3.605 -2.254 -1.050
! crystal system	monoclinic
! symmetry	No. 8
! relative energy among the computed polymorphs	198	meV/atom
! DOS(E_F)	1.3995	states/eV/atom

***

# 5
! SrY3Br, relaxed, DFT PBE; values from VASP
&SYSTEM
  ibrav = 0, nat = 5, ntyp = 3
/
ATOMIC_SPECIES
Br 79.90 Br.upf
Sr 87.62 Sr.upf
Y 88.91 Y.upf
CELL_PARAMETERS angstrom
5.573 0.000 0.000
0.000 5.573 0.000
0.000 0.000 5.573
ATOMIC_POSITIONS angstrom
Br 0.000 0.000 0.000
Sr 2.786 2.786 2.786
Y 0.000 0.000 2.786
Y 0.000 2.786 0.000
Y 2.786 0.000 0.000
! crystal system	cubic
! symmetry	No. 221
! relative energy among the computed polymorphs	0	meV/atom
! DOS(E_F)	1.7087	states/eV/atom

***

# 6
! Sr2YBr, relaxed, DFT PBE; values from VASP
&SYSTEM
  ibrav = 0, nat = 4, ntyp = 3
/
ATOMIC_SPECIES
Y 88.91 Y.upf
Br 79.90 Br.upf
Sr 87.62 Sr.upf
CELL_PARAMETERS angstrom
4.115 0.000 0.000
0.000 6.964 0.000
0.000 0.000 5.703
ATOMIC_POSITIONS angstrom
Y 2.057 0.000 2.852
Br 0.000 3.482 2.852
Sr 0.000 0.000 0.000
Sr 2.057 3.482 0.000
! crystal system	orthorhombic
! symmetry	No. 47
! relative energy among the computed polymorphs	449	meV/atom
! DOS(E_F)	0.8972	states/eV/atom

***

# 7
! SrY2Br, relaxed, DFT PBE; values from VASP
&SYSTEM
  ibrav = 0, nat = 4, ntyp = 3
/
ATOMIC_SPECIES
Y 88.91 Y.upf
Sr 87.62 Sr.upf
Br 79.90 Br.upf
CELL_PARAMETERS angstrom
-6.491 1.465 1.897
-4.886 -2.884 -3.961
5.248 -0.731 4.451
ATOMIC_POSITIONS angstrom
Y -11.119 -1.387 -2.018
Y -3.117 0.056 2.721
Sr -3.090 -2.215 -0.349
Br -5.869 -0.732 -1.065
! crystal system	orthorhombic
! symmetry	No. 44
! relative energy among the computed polymorphs	209	meV/atom
! DOS(E_F)	1.1375	states/eV/atom

***

# 8
! SrYBr4, relaxed, DFT PBE; values from VASP
&SYSTEM
  ibrav = 0, nat = 6, ntyp = 3
/
ATOMIC_SPECIES
Y 88.91 Y.upf
Sr 87.62 Sr.upf
Br 79.90 Br.upf
CELL_PARAMETERS angstrom
3.922 -5.002 -1.193
2.175 -3.640 4.883
-2.161 -6.051 0.734
ATOMIC_POSITIONS angstrom
Y 0.000 0.000 0.000
Sr 2.952 -11.020 3.318
Br 2.565 -7.330 4.105
Br 3.441 -8.013 1.059
Br 0.391 -8.539 2.026
Br 1.475 -5.505 1.658
! crystal system	cubic
! symmetry	No. 216
! DOS(E_F)	1.5625	states/eV/atom

***

# 9
! Sr3YBr, relaxed, DFT PBE; values from VASP
&SYSTEM
  ibrav = 0, nat = 5, ntyp = 3
/
ATOMIC_SPECIES
Sr 87.62 Sr.upf
Br 79.90 Br.upf
Y 88.91 Y.upf
CELL_PARAMETERS angstrom
6.069 0.000 0.000
0.000 6.069 0.000
0.000 0.000 6.069
ATOMIC_POSITIONS angstrom
Sr 0.000 3.035 0.000
Sr 0.000 0.000 3.035
Sr 3.035 0.000 0.000
Br 0.000 0.000 0.000
Y 3.035 3.035 3.035
! crystal system	cubic
! symmetry	No. 221
! relative energy among the computed polymorphs	0	meV/atom
! DOS(E_F)	2.0391	states/eV/atom

***

# 10
! SrY2Br, relaxed, DFT PBE; values from VASP
&SYSTEM
  ibrav = 0, nat = 4, ntyp = 3
/
ATOMIC_SPECIES
Y 88.91 Y.upf
Br 79.90 Br.upf
Sr 87.62 Sr.upf
CELL_PARAMETERS angstrom
-4.270 -5.158 1.004
4.208 2.317 4.772
-2.627 2.399 1.152
ATOMIC_POSITIONS angstrom
Y -0.031 -1.421 2.888
Y 0.000 0.000 0.000
Br -3.449 -1.379 1.078
Sr 0.790 2.358 2.962
! crystal system	orthorhombic
! symmetry	No. 65
! relative energy among the computed polymorphs	451	meV/atom
! DOS(E_F)	1.5103	states/eV/atom

***

# 11
! Sr2YBr, relaxed, DFT PBE; values from VASP
&SYSTEM
  ibrav = 0, nat = 4, ntyp = 3
/
ATOMIC_SPECIES
Sr 87.62 Sr.upf
Br 79.90 Br.upf
Y 88.91 Y.upf
CELL_PARAMETERS angstrom
3.866 -0.034 0.000
-1.297 3.642 0.000
0.000 0.000 10.765
ATOMIC_POSITIONS angstrom
Sr 0.000 0.000 5.655
Sr 0.000 0.000 10.492
Br 1.284 1.804 8.073
Y 1.284 1.804 2.691
! crystal system	orthorhombic
! symmetry	No. 65
! relative energy among the computed polymorphs	27	meV/atom
! DOS(E_F)	0.6957	states/eV/atom

***

# 12
! SrYBr5, relaxed, DFT PBE; values from VASP
&SYSTEM
  ibrav = 0, nat = 14, ntyp = 3
/
ATOMIC_SPECIES
Sr 87.62 Sr.upf
Br 79.90 Br.upf
Y 88.91 Y.upf
CELL_PARAMETERS angstrom
4.317 0.000 0.000
0.000 8.477 -0.469
0.000 -0.082 13.951
ATOMIC_POSITIONS angstrom
Sr 1.079 7.653 11.531
Sr 3.238 0.742 1.951
Br 1.079 3.169 9.559
Br 3.238 7.665 9.046
Br 1.079 5.673 6.914
Br 3.238 2.722 6.567
Br 1.079 0.730 4.436
Br 3.238 5.227 3.922
Br 3.238 5.310 11.604
Br 3.238 1.162 12.843
Br 1.079 3.085 1.878
Br 1.079 7.233 0.639
Y 3.238 4.835 8.767
Y 1.079 3.560 4.715
! crystal system	monoclinic
! symmetry	No. 11
! DOS(E_F)	0.0000	states/eV/atom

***

# 13
! Sr2YBr2, relaxed, DFT PBE; values from VASP
&SYSTEM
  ibrav = 0, nat = 10, ntyp = 3
/
ATOMIC_SPECIES
Br 79.90 Br.upf
Y 88.91 Y.upf
Sr 87.62 Sr.upf
CELL_PARAMETERS angstrom
9.232 0.000 0.000
0.000 9.232 0.000
0.000 0.000 3.898
ATOMIC_POSITIONS angstrom
Br 3.390 8.006 0.000
Br 5.841 1.226 0.000
Br 1.226 3.390 0.000
Br 8.006 5.841 0.000
Y 4.616 4.616 0.000
Y 0.000 0.000 0.000
Sr 1.576 6.192 1.949
Sr 7.655 3.040 1.949
Sr 3.040 1.576 1.949
Sr 6.192 7.655 1.949
! crystal system	tetragonal
! symmetry	No. 127
! relative energy among the computed polymorphs	0	meV/atom
! DOS(E_F)	0.7101	states/eV/atom

***

# 14
! SrY2Br, relaxed, DFT PBE; values from VASP
&SYSTEM
  ibrav = 0, nat = 4, ntyp = 3
/
ATOMIC_SPECIES
Sr 87.62 Sr.upf
Y 88.91 Y.upf
Br 79.90 Br.upf
CELL_PARAMETERS angstrom
-0.920 -3.495 -0.513
3.542 -0.160 -5.258
5.028 -1.829 3.443
ATOMIC_POSITIONS angstrom
Sr 5.082 -3.199 -0.303
Y 2.555 -0.929 1.750
Y 4.987 -1.814 3.415
Br 2.568 -2.285 -2.025
! crystal system	orthorhombic
! symmetry	No. 47
! relative energy among the computed polymorphs	435	meV/atom
! DOS(E_F)	1.1155	states/eV/atom

***

# 15
! SrY2Br, relaxed, DFT PBE; values from VASP
&SYSTEM
  ibrav = 0, nat = 4, ntyp = 3
/
ATOMIC_SPECIES
Br 79.90 Br.upf
Y 88.91 Y.upf
Sr 87.62 Sr.upf
CELL_PARAMETERS angstrom
-4.647 -5.049 2.073
3.439 -2.475 1.681
-0.468 2.084 4.027
ATOMIC_POSITIONS angstrom
Br -0.604 -3.762 1.877
Y 1.486 -0.196 2.854
Y 0.000 0.000 0.000
Sr -2.558 -1.483 3.050
! crystal system	tetragonal
! symmetry	No. 123
! relative energy among the computed polymorphs	331	meV/atom
! DOS(E_F)	0.9627	states/eV/atom

***

# 16
! SrY2Br, relaxed, DFT PBE; values from VASP
&SYSTEM
  ibrav = 0, nat = 4, ntyp = 3
/
ATOMIC_SPECIES
Y 88.91 Y.upf
Sr 87.62 Sr.upf
Br 79.90 Br.upf
CELL_PARAMETERS angstrom
-9.577 5.481 -0.619
-10.314 2.646 -2.960
-10.804 2.206 0.731
ATOMIC_POSITIONS angstrom
Y -15.760 5.305 -1.462
Y -30.282 10.194 -2.809
Sr -23.021 7.750 -2.136
Br -7.674 2.583 -0.712
! crystal system	trigonal
! symmetry	No. 166
! relative energy among the computed polymorphs	128	meV/atom
! DOS(E_F)	1.2685	states/eV/atom

***

# 17
! SrYBr3, relaxed, DFT PBE; values from VASP
&SYSTEM
  ibrav = 0, nat = 5, ntyp = 3
/
ATOMIC_SPECIES
Sr 87.62 Sr.upf
Br 79.90 Br.upf
Y 88.91 Y.upf
CELL_PARAMETERS angstrom
5.639 0.000 0.000
0.000 5.639 0.000
0.000 0.000 5.639
ATOMIC_POSITIONS angstrom
Sr 2.820 2.820 2.820
Br 0.000 0.000 2.820
Br 2.820 0.000 0.000
Br 0.000 2.820 0.000
Y 0.000 0.000 0.000
! crystal system	cubic
! symmetry	No. 221
! relative energy among the computed polymorphs	0	meV/atom
! DOS(E_F)	1.0399	states/eV/atom

***

# 18
! SrY2Br, relaxed, DFT PBE; values from VASP
&SYSTEM
  ibrav = 0, nat = 4, ntyp = 3
/
ATOMIC_SPECIES
Y 88.91 Y.upf
Br 79.90 Br.upf
Sr 87.62 Sr.upf
CELL_PARAMETERS angstrom
5.194 1.394 2.114
0.607 4.698 3.310
1.066 -0.565 5.651
ATOMIC_POSITIONS angstrom
Y 1.717 1.382 2.769
Y 5.150 4.145 8.306
Br 0.000 0.000 0.000
Sr 3.433 2.763 5.537
! crystal system	cubic
! symmetry	No. 225
! relative energy among the computed polymorphs	701	meV/atom
! DOS(E_F)	1.2332	states/eV/atom

***

# 19
! SrYBr3, relaxed, DFT PBE; values from VASP
&SYSTEM
  ibrav = 0, nat = 5, ntyp = 3
/
ATOMIC_SPECIES
Sr 87.62 Sr.upf
Br 79.90 Br.upf
Y 88.91 Y.upf
CELL_PARAMETERS angstrom
-4.002 2.602 3.429
-4.275 -2.949 -2.752
0.502 -4.367 3.901
ATOMIC_POSITIONS angstrom
Sr 0.000 0.000 0.000
Br 0.251 -2.184 1.950
Br -2.137 -1.475 -1.376
Br -2.001 1.301 1.714
Y -3.887 -2.357 2.289
! crystal system	cubic
! symmetry	No. 221
! relative energy among the computed polymorphs	288	meV/atom
! DOS(E_F)	1.6027	states/eV/atom

***

# 20
! Sr3YBr, relaxed, DFT PBE; values from VASP
&SYSTEM
  ibrav = 0, nat = 5, ntyp = 3
/
ATOMIC_SPECIES
Br 79.90 Br.upf
Y 88.91 Y.upf
Sr 87.62 Sr.upf
CELL_PARAMETERS angstrom
6.655 0.000 0.000
0.000 6.655 0.000
0.000 0.000 6.655
ATOMIC_POSITIONS angstrom
Br 3.327 3.327 3.327
Y 0.000 0.000 0.000
Sr 3.327 0.000 0.000
Sr 0.000 3.327 0.000
Sr 0.000 0.000 3.327
! crystal system	cubic
! symmetry	No. 221
! relative energy among the computed polymorphs	665	meV/atom
! DOS(E_F)	1.2229	states/eV/atom

***

Taking the records one at a time from the top gives formation energy from raw total energies values of -2.336, 0.161, -0.643, -1.718, -0.853, -0.717, -1.183, -2.105, -1.264, -0.217, -2.405, -13.528, -4.118, -0.279, -0.696, -1.510, -6.211, 0.785, -4.770, 2.059 eV/f.u..